Record 1
A geometry-optimized Pr3Si3Pt2 structure, computed with GGA-PBE.

The structure belongs to space group Cmcm (No. 63); the cell edges are 4.2674, 11.0485 and 15.4067 Å and the angles 90.00°, 90.00° and 90.00°. The distinct sites, in fractional coordinates, are Pr at (0.0000, 0.0713, 0.2500), Pr at (0.0000, 0.3580, 0.0942), Si at (0.0000, 0.0813, 0.0503), Si at (0.0000, 0.2180, 0.7500) and Pt at (0.0000, 0.3552, 0.6168).

As for the total energy: -6.3386 eV/atom. As for the spin magnetization: 0.0 μB/cell.


Record 2
A geometry-optimized Tc2AgIr structure, computed with GGA-PBE.

The structure belongs to space group P2/m (No. 10); the cell edges are 4.7671, 2.7641 and 4.8599 Å and the angles 90.00°, 109.43° and 90.00°. The distinct sites, in fractional coordinates, are Tc at (0.0000, 0.0000, 0.0000), Tc at (0.5000, 0.5000, 0.0000), Ag at (0.0000, 0.5000, 0.5000) and Ir at (0.5000, 0.0000, 0.5000).

As for the total energy: -7.7110 eV/atom. The energy of formation from the pure elements is 38.6 kJ/mol of atoms. As for the spin magnetization: 0.0 μB/cell.


Record 3
A geometry-optimized Sc2Ga2As structure, computed with GGA-PBE.

The structure belongs to space group P4/mbm (No. 127); the cell edges are 6.9911, 6.9911 and 4.2793 Å and the angles 90.00°, 90.00° and 90.00°. The distinct sites, in fractional coordinates, are Sc at (0.1672, 0.3328, 0.0000), Ga at (0.1347, 0.6347, 0.5000) and As at (0.0000, 0.0000, 0.0000).

As for the total energy: -5.2509 eV/atom. The energy of formation from the pure elements is -55.7 kJ/mol of atoms. As for the spin magnetization: 0.0 μB/cell.


Record 4
A geometry-optimized CsMgGa2H8 structure, computed with GGA-PBE.

The structure belongs to space group R-3 (No. 148, hexagonal axes); the cell edges are 5.6466, 5.6466 and 21.6166 Å and the angles 90.00°, 90.00° and 120.00°. The distinct sites, in fractional coordinates, are Cs at (0.0000, 0.0000, 0.0000), Mg at (0.0000, 0.0000, 0.5000), Ga at (0.0000, 0.0000, 0.2410), H at (0.0000, 0.0000, 0.3155) and H at (0.0137, 0.5086, 0.8848).

As for the total energy: -2.9644 eV/atom. As for the spin magnetization: 0.0 μB/cell.


Record 5
A geometry-optimized Ca4MnSn3N8 structure, computed with GGA-PBE.

The structure belongs to space group R-3m (No. 166, hexagonal axes); the cell edges are 6.5906, 6.5906 and 16.4596 Å and the angles 90.00°, 90.00° and 120.00°. The distinct sites, in fractional coordinates, are Ca at (0.0000, 0.0000, 0.0000), Ca at (0.0000, 0.5000, 0.0000), Mn at (0.0000, 0.0000, 0.5000), Sn at (0.0000, 0.5000, 0.5000), N at (0.0000, 0.0000, 0.2395) and N at (0.0131, 0.5066, 0.2377).

As for the total energy: -6.4173 eV/atom. As for the spin magnetization: 8.9 μB/cell.


Record 6
A geometry-optimized Ag2SeCl6 structure, computed with GGA-PBE.

The structure belongs to space group P2_1/c (No. 14); the cell edges are 6.6964, 6.3721 and 13.0952 Å and the angles 90.00°, 120.70° and 90.00°. The distinct sites, in fractional coordinates, are Ag at (0.1888, 0.0023, 0.1894), Se at (0.5000, 0.0000, 0.0000), Cl at (0.1893, 0.7200, 0.3451), Cl at (0.2028, 0.2178, 0.9993) and Cl at (0.4980, 0.7180, 0.6554).

As for the total energy: -2.6185 eV/atom. As for the spin magnetization: 0.0 μB/cell.


Record 7
A geometry-optimized BiRu structure, computed with GGA-PBE.

The structure belongs to space group I4/m (No. 87); the cell edges are 10.9040, 10.9040 and 4.0598 Å and the angles 90.00°, 90.00° and 90.00°. The distinct sites, in fractional coordinates, are Bi at (0.0430, 0.2894, 0.0000) and Ru at (0.1981, 0.7114, 0.0000).

As for the total energy: -5.9721 eV/atom. The energy of formation from the pure elements is 58.5 kJ/mol of atoms. As for the spin magnetization: 0.0 μB/cell.


Record 8
A geometry-optimized Co2Pb2Cl7 structure, computed with GGA-PBE.

The structure belongs to space group P2_1/c (No. 14); the cell edges are 6.3791, 14.3702 and 7.2967 Å and the angles 90.00°, 96.14° and 90.00°. The distinct sites, in fractional coordinates, are Co at (0.1236, 0.1116, 0.3258), Pb at (0.4053, 0.6511, 0.6048), Cl at (0.0000, 0.0000, 0.5000), Cl at (0.1310, 0.7132, 0.2961), Cl at (0.2736, 0.0544, 0.0759) and Cl at (0.3843, 0.1891, 0.5077).

As for the total energy: -3.9007 eV/atom. As for the spin magnetization: 10.0 μB/cell.


Copy entry 3 word for word.
A geometry-optimized Sc2Ga2As structure, computed with GGA-PBE.

The structure belongs to space group P4/mbm (No. 127); the cell edges are 6.9911, 6.9911 and 4.2793 Å and the angles 90.00°, 90.00° and 90.00°. The distinct sites, in fractional coordinates, are Sc at (0.1672, 0.3328, 0.0000), Ga at (0.1347, 0.6347, 0.5000) and As at (0.0000, 0.0000, 0.0000).

As for the total energy: -5.2509 eV/atom. The energy of formation from the pure elements is -55.7 kJ/mol of atoms. As for the spin magnetization: 0.0 μB/cell.


Please write out number 2 again, unchanged.
A geometry-optimized Tc2AgIr structure, computed with GGA-PBE.

The structure belongs to space group P2/m (No. 10); the cell edges are 4.7671, 2.7641 and 4.8599 Å and the angles 90.00°, 109.43° and 90.00°. The distinct sites, in fractional coordinates, are Tc at (0.0000, 0.0000, 0.0000), Tc at (0.5000, 0.5000, 0.0000), Ag at (0.0000, 0.5000, 0.5000) and Ir at (0.5000, 0.0000, 0.5000).

As for the total energy: -7.7110 eV/atom. The energy of formation from the pure elements is 38.6 kJ/mol of atoms. As for the spin magnetization: 0.0 μB/cell.